Record 1
Here is a relaxed structure of CdMo4W from Alexandria. Energies are from GGA-PBE.

a b c (Å): 5.245 5.245 5.245
angles (deg): 60.00 60.00 60.00
Sites, in units of the cell vectors:
Cd: 0.000 0.000 0.000
Mo: 0.124 0.625 0.625
Mo: 0.625 0.124 0.625
Mo: 0.625 0.625 0.124
Mo: 0.625 0.625 0.625
W: 0.250 0.250 0.250

Properties
**Spin magnetization**: 0.00 μB per formula unit
**DFT total energy**: -0.674 Ry/atom
**D(E_F)**: 0.337 states/eV per atom
**Space-group type**: F-43m

---

Record 2
Here is a relaxed structure of CdMo2W from Alexandria. Energies are from GGA-PBE.

a b c (Å): 2.814 2.814 29.917
angles (deg): 90.00 90.00 120.00
Sites, in units of the cell vectors:
Cd: 0.000 0.000 0.000
Cd: 0.333 0.667 0.667
Cd: 0.667 0.333 0.333
Mo: 0.000 0.000 0.247
Mo: 0.000 0.000 0.753
Mo: 0.333 0.667 0.420
Mo: 0.333 0.667 0.914
Mo: 0.667 0.333 0.086
Mo: 0.667 0.333 0.580
W: 0.000 0.000 0.500
W: 0.333 0.667 0.167
W: 0.667 0.333 0.833

Properties
**Spin magnetization**: 0.00 μB per formula unit
**DFT total energy**: -0.619 Ry/atom
**D(E_F)**: 0.984 states/eV per atom
**Space-group type**: R-3m

---

Record 3
Here is a relaxed structure of Cd2MoW2 from Alexandria. Energies are from GGA-PBE.

a b c (Å): 7.122 7.122 3.519
angles (deg): 90.00 90.00 90.00
Sites, in units of the cell vectors:
Cd: 0.132 0.368 0.000
Cd: 0.368 0.868 0.000
Cd: 0.632 0.132 0.000
Cd: 0.868 0.632 0.000
Mo: 0.000 0.000 0.000
Mo: 0.500 0.500 0.000
W: 0.171 0.671 0.500
W: 0.329 0.171 0.500
W: 0.671 0.829 0.500
W: 0.829 0.329 0.500

Properties
**Spin magnetization**: 0.00 μB per formula unit
**DFT total energy**: -0.478 Ry/atom
**Energy above the lowest structure with this stoichiometry**: 64 meV per atom
**D(E_F)**: 0.186 states/eV per atom
**Space-group type**: P4/mbm

---

Record 4
Here is a relaxed structure of CdMoW from Alexandria. Energies are from GGA-PBE.

a b c (Å): 3.217 4.602 14.265
angles (deg): 90.00 90.00 90.00
Sites, in units of the cell vectors:
Cd: 0.000 0.000 0.000
Cd: 0.000 0.500 0.500
Cd: 0.500 0.000 0.500
Cd: 0.500 0.500 0.000
Mo: 0.000 0.000 0.324
Mo: 0.000 0.500 0.824
Mo: 0.500 0.000 0.824
Mo: 0.500 0.500 0.324
W: 0.000 0.000 0.678
W: 0.000 0.500 0.178
W: 0.500 0.000 0.178
W: 0.500 0.500 0.678

Properties
**Spin magnetization**: 0.00 μB per formula unit
**DFT total energy**: -0.579 Ry/atom
**Energy above the lowest structure with this stoichiometry**: 0 meV per atom
**D(E_F)**: 0.568 states/eV per atom
**Space-group type**: Fmm2

---

Record 5
Here is a relaxed structure of CdMo2W from Alexandria. Energies are from GGA-PBE.

a b c (Å): 3.215 4.501 9.385
angles (deg): 90.00 90.00 90.00
Sites, in units of the cell vectors:
Cd: 0.000 0.000 0.000
Cd: 0.500 0.500 0.000
Mo: 0.000 0.000 0.498
Mo: 0.000 0.500 0.266
Mo: 0.500 0.000 0.266
Mo: 0.500 0.500 0.498
W: 0.000 0.500 0.732
W: 0.500 0.000 0.732

Properties
**Spin magnetization**: 0.00 μB per formula unit
**DFT total energy**: -0.633 Ry/atom
**D(E_F)**: 0.654 states/eV per atom
**Space-group type**: Cmm2

---

Record 6
Here is a relaxed structure of Cd2MoW2 from Alexandria. Energies are from GGA-PBE.

a b c (Å): 3.709 3.709 14.010
angles (deg): 90.00 90.00 90.00
Sites, in units of the cell vectors:
Cd: 0.000 0.000 0.095
Cd: 0.000 0.000 0.905
Cd: 0.500 0.500 0.405
Cd: 0.500 0.500 0.595
Mo: 0.000 0.000 0.500
Mo: 0.500 0.500 0.000
W: 0.000 0.500 0.250
W: 0.000 0.500 0.750
W: 0.500 0.000 0.250
W: 0.500 0.000 0.750

Properties
**Spin magnetization**: 1.47 μB per formula unit
**DFT total energy**: -0.483 Ry/atom
**Energy above the lowest structure with this stoichiometry**: 0 meV per atom
**D(E_F)**: 0.704 states/eV per atom
**Space-group type**: I4/mmm